(1)
Computed, not measured: an optimized crystal structure of ErZnSnRu at the PBE level of DFT.

Cell lengths 4.7234, 4.7234, 4.7234 Å; angles 60.00, 60.00, 60.00 degrees
Fractional positions:
Zn 0.0000 0.0000 0.0000
Ru 0.7500 0.7500 0.7500
Sn 0.5000 0.5000 0.5000
Er 0.2500 0.2500 0.2500

Results
Total moment   0.00 μB per cell
VASP energy   -5.04 eV/atom
Space-group type   F-43m (216)
Formation energy from the elements   -264 meV/atom
Mass density   10083 kg/m³

=====

(2)
Computed, not measured: an optimized crystal structure of SrEr3Ru at the PBE level of DFT.

Cell lengths 5.4395, 5.4395, 5.4395 Å; angles 90.00, 90.00, 90.00 degrees
Fractional positions:
Er 0.0000 0.0000 0.5000
Er 0.0000 0.5000 0.0000
Er 0.5000 0.0000 0.0000
Sr 0.5000 0.5000 0.5000
Ru 0.0000 0.0000 0.0000

Results
Total moment   0.00 μB per cell
VASP energy   -5.09 eV/atom
Space-group type   Pm-3m (221)
Formation energy from the elements   -162 meV/atom
Mass density   7124 kg/m³

=====

(3)
Computed, not measured: an optimized crystal structure of Er4TaRu5 at the PBE level of DFT.

Cell lengths 3.3048, 3.3048, 16.8483 Å; angles 90.00, 90.00, 90.00 degrees
Fractional positions:
Ru 0.5000 0.5000 0.7040
Ru 0.5000 0.5000 0.5000
Ru 0.5000 0.5000 0.2960
Ru 0.5000 0.5000 0.0875
Ru 0.5000 0.5000 0.9125
Er 0.0000 0.0000 0.3991
Er 0.0000 0.0000 0.6009
Er 0.0000 0.0000 0.8008
Er 0.0000 0.0000 0.1992
Ta 0.0000 0.0000 0.0000

Results
Total moment   0.00 μB per cell
VASP energy   -8.08 eV/atom
Space-group type   P4/mmm (123)
Formation energy from the elements   -431 meV/atom
Mass density   12231 kg/m³

=====

(4)
Computed, not measured: an optimized crystal structure of Er5TaRu6 at the PBE level of DFT.

Cell lengths 4.7163, 6.6973, 8.1406 Å; angles 65.71, 73.19, 90.00 degrees
Fractional positions:
Ru 0.1581 0.9193 0.6837
Ru 0.1581 0.3971 0.6837
Ru 0.5000 0.2304 0.0000
Ru 0.8419 0.6029 0.3163
Ru 0.8419 0.0807 0.3163
Ru 0.5000 0.7696 0.0000
Er 0.6651 0.6653 0.6694
Er 0.3323 0.8324 0.3352
Er 0.0000 0.5000 0.0000
Er 0.6677 0.1676 0.6648
Er 0.3349 0.3347 0.3306
Ta 0.0000 0.0000 0.0000

Results
Total moment   0.00 μB per cell
VASP energy   -7.96 eV/atom
Space-group type   Immm (71)
Formation energy from the elements   -432 meV/atom
Mass density   12131 kg/m³

=====

(5)
Computed, not measured: an optimized crystal structure of ErTaRu at the PBE level of DFT.

Cell lengths 3.2495, 3.2495, 5.9413 Å; angles 105.87, 105.87, 90.00 degrees
Fractional positions:
Er 0.0059 0.0059 0.0119
Ru 0.6836 0.6836 0.3672
Ta 0.3104 0.3104 0.6209

Results
Total moment   0.00 μB per cell
VASP energy   -8.75 eV/atom
Space-group type   I4mm (107)
Energy above the most stable polymorph in this dataset   0.00 eV/f.u.
Formation energy from the elements   -183 meV/atom
Mass density   12895 kg/m³

=====

(6)
Computed, not measured: an optimized crystal structure of Er3TaRu4 at the PBE level of DFT.

Cell lengths 3.2886, 3.2886, 13.5036 Å; angles 90.00, 90.00, 90.00 degrees
Fractional positions:
Er 0.5000 0.5000 0.7506
Er 0.5000 0.5000 0.2494
Er 0.5000 0.5000 0.5000
Ru 0.0000 0.0000 0.1095
Ru 0.0000 0.0000 0.8905
Ru 0.0000 0.0000 0.6284
Ru 0.0000 0.0000 0.3716
Ta 0.5000 0.5000 0.0000

Results
Total moment   0.00 μB per cell
VASP energy   -8.28 eV/atom
Space-group type   P4/mmm (123)
Formation energy from the elements   -445 meV/atom
Mass density   12360 kg/m³

=====

(7)
Computed, not measured: an optimized crystal structure of ErTaRu at the PBE level of DFT.

Cell lengths 5.4805, 7.0524, 7.0524 Å; angles 77.37, 78.02, 78.02 degrees
Fractional positions:
Ta 0.3396 0.1425 0.8925
Ta 0.6604 0.3575 0.6075
Ta 0.6604 0.8575 0.1075
Ta 0.3396 0.6425 0.3925
Er 0.2344 0.6619 0.9119
Er 0.2344 0.1619 0.4119
Er 0.7656 0.8381 0.5881
Er 0.7656 0.3381 0.0881
Ru 0.0962 0.9338 0.1838
Ru 0.0962 0.4338 0.6838
Ru 0.9038 0.5662 0.3162
Ru 0.9038 0.0662 0.8162

Results
Total moment   0.00 μB per cell
VASP energy   -8.71 eV/atom
Space-group type   P2_1/m (11)
Energy above the most stable polymorph in this dataset   0.11 eV/f.u.
Formation energy from the elements   -145 meV/atom
Mass density   11638 kg/m³

=====

(8)
Computed, not measured: an optimized crystal structure of ErTaTcRu at the PBE level of DFT.

Cell lengths 4.6143, 4.6143, 4.6143 Å; angles 60.00, 60.00, 60.00 degrees
Fractional positions:
Er 0.5000 0.5000 0.5000
Tc 0.2500 0.2500 0.2500
Ta 0.0000 0.0000 0.0000
Ru 0.7500 0.7500 0.7500

Results
Total moment   0.00 μB per cell
VASP energy   -9.32 eV/atom
Space-group type   F-43m (216)
Formation energy from the elements   -310 meV/atom
Mass density   13081 kg/m³